Entry from Alexandria: a relaxed Cr2PbF8 crystal (PBE+U).

a b c (Å): 4.0637 6.5202 6.5310
angles (deg): 71.84 88.70 88.81
With the nearest neighbours (Å) after each atom.
Space group P-1 (No. 2)
One atom of each set of equivalent atoms:
Cr 0.2416 0.1180 0.1179  5 F 1.86-2.07
Pb 0.5000 0.5000 0.5000  6 F 2.46-2.47
F 0.2290 0.2942 0.2943  1 Cr 1.86
F 0.2398 0.8605 0.3546  1 Cr 1.90
F 0.2413 0.3553 0.8611  1 Cr 1.89
F 0.2564 0.9182 0.9180  3 Cr 2.07-2.11

Results
ρ	4.68	Mg/m³
D(E_F)	0.00	states/eV per cell
E_tot	-61.42	eV for the cell shown